Compound: Ho2TmIn3AgPt2
Source: OQMD
Functional: PBE-GGA
Structure: optimized geometry

Lattice parameters (Å, degrees): 3.7324 7.8132 7.8132 119.97 90.00 90.00
Fractional positions:
Ho 0.0000 0.2047 0.7953
Ho 0.0000 0.7953 0.2047
Tm 0.0000 0.6141 0.6141
In 0.5000 0.2048 0.4742
In 0.5000 0.4742 0.2048
In 0.5000 0.9350 0.9350
Ag 0.0000 0.2048 0.2048
Pt 0.5000 0.5381 0.8711
Pt 0.5000 0.8711 0.5381

SG   No. 38
V   197.4 Å³/f.u.
Total energy   -4.909 eV/atom

Compound: Co3AgS5
Source: OQMD
Functional: PBE-GGA
Structure: optimized geometry

Lattice parameters (Å, degrees): 5.3485 5.3485 6.3018 90.00 90.00 120.00
Fractional positions:
Co 0.0000 0.5000 0.0000
Co 0.5000 0.0000 0.0000
Co 0.5000 0.5000 0.0000
Ag 0.0000 0.0000 0.5000
S 0.0000 0.0000 0.0000
S 0.3333 0.6667 0.2489
S 0.3333 0.6667 0.7511
S 0.6667 0.3333 0.2489
S 0.6667 0.3333 0.7511

SG   No. 191
V   156.1 Å³/f.u.
Total energy   -5.008 eV/atom

Compound: LaSm2Sb3
Source: OQMD
Functional: PBE-GGA
Structure: optimized geometry

Lattice parameters (Å, degrees): 4.5196 4.5196 11.0891 90.00 90.00 120.00
Fractional positions:
La 0.0000 0.0000 0.0000
Sm 0.3333 0.6667 0.3368
Sm 0.6667 0.3333 0.6632
Sb 0.0000 0.0000 0.5000
Sb 0.3333 0.6667 0.8268
Sb 0.6667 0.3333 0.1732

SG   No. 164
V   196.2 Å³/f.u.
Total energy   -5.664 eV/atom

Compound: ZnCu2Ni
Source: OQMD
Functional: PBE-GGA
Structure: optimized geometry

Lattice parameters (Å, degrees): 3.5987 3.5987 3.6690 90.00 90.00 90.00
Fractional positions:
Zn 0.0000 0.0000 0.0000
Cu 0.0000 0.5000 0.5000
Cu 0.5000 0.0000 0.5000
Ni 0.5000 0.5000 0.0000

DFT formation energy   -0.51 eV/f.u.
SG   No. 123
V   47.5 Å³/f.u.
Total energy   -3.694 eV/atom

Compound: NdAuS2
Source: OQMD
Functional: PBE-GGA
Structure: optimized geometry

Lattice parameters (Å, degrees): 6.1770 7.2115 7.9372 90.00 90.03 90.00
Fractional positions:
Nd 0.1624 0.0340 0.2511
Nd 0.1624 0.4660 0.7511
Nd 0.8376 0.5340 0.2489
Nd 0.8376 0.9660 0.7489
Au 0.4945 0.7466 0.5014
Au 0.4945 0.7534 0.0014
Au 0.5055 0.2466 0.9986
Au 0.5055 0.2534 0.4986
S 0.0708 0.7488 0.5000
S 0.0708 0.7512 0.0000
S 0.3821 0.0972 0.7470
S 0.3821 0.4028 0.2470
S 0.6179 0.5972 0.7530
S 0.6179 0.9028 0.2530
S 0.9292 0.2488 0.0000
S 0.9292 0.2512 0.5000

SG   No. 14
V   88.4 Å³/f.u.
Total energy   -5.328 eV/atom

Compound: CdTeAsO
Source: OQMD
Functional: PBE-GGA
Structure: optimized geometry

Lattice parameters (Å, degrees): 3.7501 6.6477 7.0223 90.00 90.00 90.00
Fractional positions:
Cd 0.0000 0.1153 0.0000
Cd 0.0000 0.8847 0.5000
Te 0.5000 0.4402 0.6307
Te 0.5000 0.5598 0.1307
As 0.0000 0.2655 0.3779
As 0.0000 0.7345 0.8779
O 0.5000 0.2795 0.8775
O 0.5000 0.7205 0.3775

ΔE to the lowest computed polymorph   12 meV/atom
SG   No. 26
V   87.5 Å³/f.u.
Total energy   -3.641 eV/atom

Compound: Al2Pd5W
Source: OQMD
Functional: PBE-GGA
Structure: optimized geometry

Lattice parameters (Å, degrees): 4.0330 4.0330 14.5372 90.00 90.00 90.00
Fractional positions:
Al 0.0000 0.0000 0.2465
Al 0.0000 0.0000 0.7535
Al 0.5000 0.5000 0.2535
Al 0.5000 0.5000 0.7465
Pd 0.0000 0.0000 0.0000
Pd 0.0000 0.5000 0.1330
Pd 0.0000 0.5000 0.3670
Pd 0.0000 0.5000 0.6330
Pd 0.0000 0.5000 0.8670
Pd 0.5000 0.0000 0.1330
Pd 0.5000 0.0000 0.3670
Pd 0.5000 0.0000 0.6330
Pd 0.5000 0.0000 0.8670
Pd 0.5000 0.5000 0.5000
W 0.0000 0.0000 0.5000
W 0.5000 0.5000 0.0000

SG   No. 139
V   118.2 Å³/f.u.
Total energy   -6.183 eV/atom

Compound: CsCdIr
Source: OQMD
Functional: PBE-GGA
Structure: optimized geometry

Lattice parameters (Å, degrees): 7.0412 7.0412 7.0412 90.00 90.00 90.00
Fractional positions:
Cs 0.0000 0.0000 0.0000
Cs 0.0000 0.5000 0.5000
Cs 0.5000 0.0000 0.5000
Cs 0.5000 0.5000 0.0000
Cd 0.0000 0.0000 0.5000
Cd 0.0000 0.5000 0.0000
Cd 0.5000 0.0000 0.0000
Cd 0.5000 0.5000 0.5000
Ir 0.2500 0.2500 0.7500
Ir 0.2500 0.7500 0.2500
Ir 0.7500 0.2500 0.2500
Ir 0.7500 0.7500 0.7500

SG   No. 216
V   87.3 Å³/f.u.
Total energy   -2.636 eV/atom

Compound: LiLuZr
Source: OQMD
Functional: PBE-GGA
Structure: optimized geometry

Lattice parameters (Å, degrees): 6.9062 6.9062 6.9062 90.00 90.00 90.00
Fractional positions:
Li 0.0000 0.0000 0.0000
Li 0.0000 0.5000 0.5000
Li 0.5000 0.0000 0.5000
Li 0.5000 0.5000 0.0000
Lu 0.0000 0.0000 0.5000
Lu 0.0000 0.5000 0.0000
Lu 0.5000 0.0000 0.0000
Lu 0.5000 0.5000 0.5000
Zr 0.2500 0.2500 0.2500
Zr 0.2500 0.7500 0.7500
Zr 0.7500 0.2500 0.7500
Zr 0.7500 0.7500 0.2500

ΔE to the lowest computed polymorph   0 meV/atom
SG   No. 216
V   82.3 Å³/f.u.
Total energy   -3.886 eV/atom

Compound: K3Pt2S4
Source: OQMD
Functional: PBE-GGA
Structure: optimized geometry

Lattice parameters (Å, degrees): 6.2173 6.2173 13.5673 90.00 90.00 109.11
Fractional positions:
K 0.1622 0.8378 0.5659
K 0.1622 0.8378 0.9341
K 0.2505 0.7495 0.2500
K 0.7495 0.2505 0.7500
K 0.8378 0.1622 0.0659
K 0.8378 0.1622 0.4341
Pt 0.4185 0.5815 0.7500
Pt 0.5000 0.5000 0.0000
Pt 0.5000 0.5000 0.5000
Pt 0.5815 0.4185 0.2500
S 0.2177 0.3562 0.6200
S 0.2177 0.3562 0.8800
S 0.3562 0.2177 0.1200
S 0.3562 0.2177 0.3800
S 0.6438 0.7823 0.6200
S 0.6438 0.7823 0.8800
S 0.7823 0.6438 0.1200
S 0.7823 0.6438 0.3800

SG   No. 63
V   247.8 Å³/f.u.
Total energy   -4.388 eV/atom

Compound: Nb4C3S
Source: OQMD
Functional: PBE-GGA
Structure: optimized geometry

Lattice parameters (Å, degrees): 3.2158 3.2158 22.4590 90.00 90.00 120.00
Fractional positions:
Nb 0.0000 0.0000 0.1679
Nb 0.0000 0.0000 0.3321
Nb 0.0000 0.0000 0.6679
Nb 0.0000 0.0000 0.8321
Nb 0.3333 0.6667 0.0595
Nb 0.3333 0.6667 0.4405
Nb 0.6667 0.3333 0.5595
Nb 0.6667 0.3333 0.9405
C 0.0000 0.0000 0.0000
C 0.0000 0.0000 0.5000
C 0.3333 0.6667 0.6157
C 0.3333 0.6667 0.8843
C 0.6667 0.3333 0.1157
C 0.6667 0.3333 0.3843
S 0.3333 0.6667 0.2500
S 0.6667 0.3333 0.7500

SG   No. 194
V   100.6 Å³/f.u.
Total energy   -9.634 eV/atom

Compound: Fe2Mo3Pb2
Source: OQMD
Functional: PBE-GGA
Structure: optimized geometry

Lattice parameters (Å, degrees): 7.4358 7.4358 7.4358 34.62 34.62 34.62
Fractional positions:
Fe 0.0000 0.0000 0.0000
Fe 0.4498 0.4498 0.4498
Mo 0.3043 0.3043 0.3043
Mo 0.5884 0.5884 0.5884
Mo 0.8841 0.8841 0.8841
Pb 0.1586 0.1586 0.1586
Pb 0.7266 0.7266 0.7266

SG   No. 160
V   118.4 Å³/f.u.
Total energy   -7.558 eV/atom

Compound: HoF
Source: OQMD
Functional: PBE-GGA
Structure: optimized geometry

Lattice parameters (Å, degrees): 3.2098 3.2098 3.7313 90.00 90.00 120.00
Fractional positions:
Ho 0.0000 0.0000 0.0000
F 0.3333 0.6667 0.5000

ΔE to the lowest computed polymorph   295 meV/atom
SG   No. 187
V   33.3 Å³/f.u.
Total energy   -5.203 eV/atom

Compound: DyScAlNi2
Source: OQMD
Functional: PBE-GGA
Structure: optimized geometry

Lattice parameters (Å, degrees): 4.1246 5.2748 8.0143 90.00 90.00 90.00
Fractional positions:
Dy 0.0000 0.0000 0.0000
Dy 0.5000 0.5000 0.5000
Sc 0.0000 0.0000 0.4058
Sc 0.5000 0.5000 0.9058
Al 0.0000 0.5000 0.2021
Al 0.5000 0.0000 0.7021
Ni 0.0000 0.2676 0.7029
Ni 0.0000 0.7324 0.7029
Ni 0.5000 0.2324 0.2029
Ni 0.5000 0.7676 0.2029

SG   No. 44
V   87.2 Å³/f.u.
Total energy   -5.725 eV/atom

Compound: Ta3GeN2
Source: OQMD
Functional: PBE-GGA
Structure: optimized geometry

Lattice parameters (Å, degrees): 3.1526 3.1526 17.9209 90.00 90.00 120.00
Fractional positions:
Ta 0.0000 0.0000 0.0000
Ta 0.0000 0.0000 0.5000
Ta 0.3333 0.6667 0.1379
Ta 0.3333 0.6667 0.3621
Ta 0.6667 0.3333 0.6379
Ta 0.6667 0.3333 0.8621
Ge 0.0000 0.0000 0.2500
Ge 0.0000 0.0000 0.7500
N 0.3333 0.6667 0.5690
N 0.3333 0.6667 0.9310
N 0.6667 0.3333 0.0690
N 0.6667 0.3333 0.4310

SG   No. 194
V   77.1 Å³/f.u.
Total energy   -10.068 eV/atom

Compound: PmSmAsO
Source: OQMD
Functional: PBE-GGA
Structure: optimized geometry

Lattice parameters (Å, degrees): 4.3967 4.3967 9.2099 90.00 90.00 90.00
Fractional positions:
Pm 0.2500 0.2500 0.1045
Pm 0.7500 0.7500 0.8955
Sm 0.2500 0.7500 0.5000
Sm 0.7500 0.2500 0.5000
As 0.2500 0.2500 0.7069
As 0.7500 0.7500 0.2931
O 0.2500 0.7500 0.0000
O 0.7500 0.2500 0.0000

ΔE to the lowest computed polymorph   77 meV/atom
SG   No. 129
V   89.0 Å³/f.u.
Total energy   -6.620 eV/atom

Compound: YFeNiB
Source: OQMD
Functional: PBE-GGA
Structure: optimized geometry

Lattice parameters (Å, degrees): 6.0846 6.0846 6.0846 90.00 90.00 90.00
Fractional positions:
Y 0.0000 0.0000 0.0000
Y 0.0000 0.5000 0.5000
Y 0.5000 0.0000 0.5000
Y 0.5000 0.5000 0.0000
Fe 0.0000 0.0000 0.5000
Fe 0.0000 0.5000 0.0000
Fe 0.5000 0.0000 0.0000
Fe 0.5000 0.5000 0.5000
Ni 0.2500 0.2500 0.7500
Ni 0.2500 0.7500 0.2500
Ni 0.7500 0.2500 0.2500
Ni 0.7500 0.7500 0.7500
B 0.2500 0.2500 0.2500
B 0.2500 0.7500 0.7500
B 0.7500 0.2500 0.7500
B 0.7500 0.7500 0.2500

ΔE to the lowest computed polymorph   0 meV/atom
SG   No. 216
V   56.3 Å³/f.u.
Total energy   -6.413 eV/atom

Compound: Ho2TmFe8Co
Source: OQMD
Functional: PBE-GGA
Structure: optimized geometry

Lattice parameters (Å, degrees): 8.5525 8.5525 8.5525 34.29 34.29 34.29
Fractional positions:
Ho 0.1418 0.1418 0.1418
Ho 0.8582 0.8582 0.8582
Tm 0.0000 0.0000 0.0000
Fe 0.0813 0.5816 0.5816
Fe 0.3328 0.3328 0.3328
Fe 0.4184 0.4184 0.9187
Fe 0.4184 0.9187 0.4184
Fe 0.5816 0.0813 0.5816
Fe 0.5816 0.5816 0.0813
Fe 0.6672 0.6672 0.6672
Fe 0.9187 0.4184 0.4184
Co 0.5000 0.5000 0.5000

DFT formation energy   -1.43 eV/f.u.
SG   No. 166
V   177.0 Å³/f.u.
Total energy   -7.386 eV/atom

Compound: KPrCdTe3
Source: OQMD
Functional: PBE-GGA
Structure: optimized geometry

Lattice parameters (Å, degrees): 10.1414 10.1414 9.7993 104.07 104.07 26.28
Fractional positions:
K 0.1368 0.1368 0.0708
K 0.8632 0.8632 0.9292
Pr 0.1766 0.1766 0.5938
Pr 0.8234 0.8234 0.4062
Cd 0.4806 0.4806 0.2808
Cd 0.5194 0.5194 0.7192
Te 0.0000 0.0000 0.5000
Te 0.3279 0.3279 0.1850
Te 0.3398 0.3398 0.6375
Te 0.5000 0.5000 0.0000
Te 0.6602 0.6602 0.3625
Te 0.6721 0.6721 0.8150

SG   No. 12
V   216.1 Å³/f.u.
Total energy   -3.676 eV/atom

Compound: PrNdTe4Se2
Source: OQMD
Functional: PBE-GGA
Structure: optimized geometry

Lattice parameters (Å, degrees): 4.2976 4.2975 26.0252 90.00 90.00 90.00
Fractional positions:
Pr 0.0000 0.0000 0.0000
Pr 0.0000 0.5000 0.5000
Nd 0.5000 0.0000 0.3570
Nd 0.5000 0.5000 0.8570
Te 0.0000 0.0000 0.2543
Te 0.0000 0.0000 0.6027
Te 0.0000 0.5000 0.1027
Te 0.0000 0.5000 0.7543
Te 0.5000 0.0000 0.1027
Te 0.5000 0.0000 0.7544
Te 0.5000 0.5000 0.2544
Te 0.5000 0.5000 0.6027
Se 0.0000 0.0000 0.8835
Se 0.0000 0.5000 0.3835
Se 0.5000 0.0000 0.4733
Se 0.5000 0.5000 0.9733

SG   No. 38
V   240.3 Å³/f.u.
Total energy   -4.784 eV/atom